Tm6Tl5In after structural relaxation, computed with PBE-GGA.

Unit cell a=5.3442 b=7.3886 c=8.4429 alpha=90.00 beta=71.55 gamma=90.00
Element x y z (fractional)
Tl: 0.6668 0.5000 0.6664
Tl: 0.3332 0.0000 0.3337
Tl: 0.0000 0.5000 0.0000
Tl: 0.6668 0.0000 0.6663
Tl: 0.3332 0.5000 0.3336
Tm: 0.8338 0.7505 0.3323
Tm: 0.8339 0.2495 0.3323
Tm: 0.5000 0.2489 0.0000
Tm: 0.5000 0.7511 0.0000
Tm: 0.1661 0.7505 0.6677
Tm: 0.1662 0.2495 0.6677
In: 0.0000 0.0000 0.0000

## Properties
Symmetry: Cmmm, No. 65
Energy relative to the elements: -311 meV/atom
Calculated total energy: -3.761 eV/atom
Volume: 26.35 Å³/atom
E above lowest polymorph: 0.0000 eV/atom